# Li3Fe2Si2O8 (GGA+U, optimized geometry)
data_Li3Fe2Si2O8
_cell_length_a 5.061
_cell_length_b 5.364
_cell_length_c 6.553
_cell_angle_alpha 89.07
_cell_angle_beta 89.63
_cell_angle_gamma 89.38
_symmetry_space_group_name_H-M 'P 1'
_symmetry_Int_Tables_number 1
_symmetry_space_group_name_Hall 'P 1'
loop_
_atom_site_label
_atom_site_type_symbol
_atom_site_fract_x
_atom_site_fract_y
_atom_site_fract_z
Li1 Li 0.000 0.000 0.000
Li2 Li 0.010 0.537 0.743
Li3 Li 0.504 0.355 0.497
Fe1 Fe 0.005 0.010 0.483
Fe2 Fe 0.506 0.357 0.003
Si1 Si 0.000 0.508 0.252
Si2 Si 0.496 0.870 0.746
O1 O 0.057 0.803 0.239
O2 O 0.110 0.381 0.468
O3 O 0.130 0.370 0.044
O4 O 0.171 0.871 0.751
O5 O 0.602 0.571 0.771
O6 O 0.607 0.004 0.540
O7 O 0.610 0.029 0.942
O8 O 0.681 0.444 0.241
# Calculated total energy: -6.715 eV/atom
# Size of the total moment: 9.00 Bohr magnetons per cell
# E above lowest polymorph: 3 meV per atom